Material: GaHF4
Method: DFT, PBE
State: optimized geometry

E_tot = -4.47 eV per atom
Space-group type = No. 12
V = 11.4 Å³/atom
M_tot = 0.1 μB/cell
E above lowest polymorph = 75 meV per atom

Lattice parameters (Å, degrees): 3.790 6.364 6.030 99.23 90.00 107.33
Site moments in Bohr magnetons follow the coordinates.
Fractional positions:
Ga  0.119  0.239  0.666  0.00
Ga  0.881  0.761  0.334  0.00
H  0.103  0.206  0.147  0.00
H  0.897  0.794  0.853  0.00
F  0.050  0.101  0.339  0.00
F  0.137  0.274  0.007  0.00
F  0.735  0.470  0.326  0.06
F  0.598  0.195  0.685  0.00
F  0.402  0.805  0.315  0.00
F  0.265  0.530  0.674  0.06
F  0.863  0.726  0.993  0.00
F  0.950  0.899  0.661  0.00

***

Material: Pr4Te3P
Method: DFT, PBE
State: optimized geometry

E_tot = -5.76 eV per atom
Space-group type = No. 65
V = 31.4 Å³/atom
M_tot = 0.0 μB/cell

Lattice parameters (Å, degrees): 4.386 7.774 7.774 108.71 90.00 90.00
Fractional positions:
Pr  0.000  0.219  0.219
Pr  0.500  0.770  0.230
Pr  0.000  0.781  0.781
Pr  0.500  0.230  0.770
Te  0.000  0.000  0.500
Te  0.500  0.500  0.500
Te  0.000  0.500  0.000
P  0.500  0.000  0.000

***

Material: Y3InN
Method: DFT, PBE
State: optimized geometry

E_tot = -6.03 eV per atom
Space-group type = No. 99
V = 35.5 Å³/atom
M_tot = 1.0 μB/cell

Lattice parameters (Å, degrees): 4.573 4.573 8.478 90.00 90.00 90.00
Site moments in Bohr magnetons follow the coordinates.
Fractional positions:
Y  0.000  0.000  0.780  0.36
Y  0.500  0.000  0.436  0.07
Y  0.000  0.500  0.436  0.07
N  0.500  0.500  0.465  -0.01
In  0.000  0.000  0.146  0.00

***

Material: Ac4Pr3Er
Method: DFT, PBE
State: optimized geometry

E_tot = -4.38 eV per atom
E_form = 0.037 eV/atom
Space-group type = No. 31
V = 39.6 Å³/atom
M_tot = 0.0 μB/cell

Lattice parameters (Å, degrees): 7.605 7.605 10.944 90.00 90.00 90.00
Fractional positions:
Pr  0.999  0.310  0.000
Pr  0.253  0.061  0.751
Pr  0.747  0.561  0.749
Pr  0.001  0.810  0.500
Pr  0.747  0.561  0.251
Pr  0.253  0.061  0.249
Ac  0.998  0.812  0.000
Ac  0.503  0.309  0.000
Ac  0.749  0.060  0.747
Ac  0.251  0.560  0.753
Ac  0.497  0.809  0.500
Ac  0.002  0.312  0.500
Ac  0.251  0.560  0.247
Ac  0.749  0.060  0.253
Er  0.500  0.811  0.000
Er  0.500  0.311  0.500

***

Material: TaMo3
Method: DFT, PBE
State: optimized geometry

E_tot = -11.23 eV per atom
E_form = -0.146 eV/atom
Space-group type = No. 63
V = 16.3 Å³/atom
M_tot = 0.0 μB/cell

Lattice parameters (Å, degrees): 5.535 5.535 4.526 90.00 90.00 70.52
Fractional positions:
Mo  0.122  0.628  0.750
Mo  0.126  0.126  0.750
Mo  0.372  0.878  0.250
Mo  0.628  0.122  0.750
Mo  0.874  0.874  0.250
Mo  0.878  0.372  0.250
Ta  0.376  0.376  0.250
Ta  0.624  0.624  0.750

***

Material: LiCa3H6Pt2
Method: DFT, PBE
State: optimized geometry

E_tot = -3.91 eV per atom
Space-group type = No. 164
V = 13.0 Å³/atom
M_tot = 0.0 μB/cell

Lattice parameters (Å, degrees): 5.328 5.328 6.351 90.00 90.00 120.00
Fractional positions:
Li  0.000  0.000  0.500
Ca  0.333  0.667  0.700
Ca  0.667  0.333  0.300
Ca  0.000  0.000  0.000
H  0.694  0.847  0.291
H  0.153  0.306  0.291
H  0.153  0.847  0.291
H  0.847  0.694  0.709
H  0.306  0.153  0.709
H  0.847  0.153  0.709
Pt  0.667  0.333  0.771
Pt  0.333  0.667  0.229